Entry from Alexandria: crystalline Y3Ho5Sn12 at its relaxed geometry (GGA-PBE).

Its magnetization is 0.0 μB/f.u. As for the formation energy: -0.09 eV per atom. As for the energy: -736.503 eV/cell.

The space group is Ia-3d (No. 230) and the conventional cell measures 17.797, 17.797 and 17.797 Å, with angles of 90.00, 90.00 and 90.00 degrees. The asymmetric unit holds Y at (0.000, 0.250, 0.125), Ho at (0.000, 0.000, 0.000), Ho at (0.000, 0.250, 0.375) and Sn at (0.003, 0.078, 0.656).